(1)
This record from Alexandria via LeMat-Bulk describes PmReB after structural relaxation. The functional is PBE.

```
PmReB
1.0
3.5681 2.0601 4.4979
-3.5681 2.0601 4.4979
0.0000 -4.1201 4.4979
Pm Re B
3 3 3
Cartesian
-1.4538 -1.6021 4.4979
-0.6605 2.0601 4.4979
2.1143 -0.4580 4.4979
0.0000 0.0000 0.0000
0.0000 0.0000 2.3838
0.0000 0.0000 11.1098
-3.1790 0.0000 6.7468
1.5895 -2.7531 6.7468
1.5895 2.7531 6.7468
```

Computed properties:
The energy above the most stable polymorph in this dataset is 370 meV per atom. Its space group is R32.

(2)
This record from Alexandria via LeMat-Bulk describes PmReB after structural relaxation. The functional is PBE.

```
PmReB
1.0
3.7736 0.0000 0.0000
-1.8868 3.2680 0.0000
0.0000 0.0000 4.3175
Pm Re B
1 1 1
Cartesian
0.0000 0.0000 0.0000
1.8868 1.0893 2.1587
0.0000 2.1787 2.1587
```

Computed properties:
The energy above the most stable polymorph in this dataset is 0 meV per atom. Its space group is P-6m2.

(3)
This record from Alexandria via LeMat-Bulk describes Pm2ReB10 after structural relaxation. The functional is PBE.

```
Pm2ReB10
1.0
5.7908 0.0000 0.0000
0.0000 11.5301 0.0000
0.0000 0.0000 4.2141
Pm Re B
4 2 20
Cartesian
1.2722 1.5435 0.0000
1.6232 7.3085 0.0000
4.1676 4.2216 0.0000
4.5187 9.9866 0.0000
0.0000 5.7650 2.1071
2.8954 0.0000 2.1071
0.3552 3.5442 2.1071
0.6955 11.0526 2.1071
0.7548 9.2535 2.1071
1.3049 4.3964 0.8467
1.3049 4.3964 3.3674
1.5905 10.1614 0.8467
1.5905 10.1614 3.3674
2.1406 3.4885 2.1071
2.1999 5.2876 2.1071
2.5402 9.3093 2.1071
3.2506 2.2208 2.1071
3.5909 6.2425 2.1071
3.6503 8.0416 2.1071
4.2003 1.3687 0.8467
4.2003 1.3687 3.3674
4.4859 7.1337 0.8467
4.4859 7.1337 3.3674
5.0360 2.2766 2.1071
5.0953 0.4774 2.1071
5.4356 7.9858 2.1071
```

Computed properties:
Its space group is Pbam.

(4)
This record from Alexandria via LeMat-Bulk describes PmReB3 after structural relaxation. The functional is PBE.

```
PmReB3
1.0
1.8121 -11.0436 0.0000
1.8121 11.0436 0.0000
0.0000 0.0000 3.0879
Pm Re B
2 2 6
Cartesian
1.8121 9.2084 2.3159
1.8121 -9.2084 0.7720
1.8121 6.4123 0.7720
1.8121 -6.4123 2.3159
1.8121 4.1576 0.7720
1.8121 3.3966 2.3159
1.8121 0.2414 2.3159
1.8121 -0.2414 0.7720
1.8121 -3.3966 0.7720
1.8121 -4.1576 2.3159
```

Computed properties:
The energy above the most stable polymorph in this dataset is 0 meV per atom. Its space group is Cmcm.

(5)
This record from Alexandria via LeMat-Bulk describes Pm3Re2B9 after structural relaxation. The functional is PBE.

```
Pm3Re2B9
1.0
-1.5680 4.2335 6.8105
1.5680 -4.2335 6.8105
1.5680 4.2335 -6.8105
Pm Re B
3 2 9
Cartesian
0.0000 0.0000 0.0000
0.0000 0.0000 3.5921
0.0000 0.0000 10.0288
1.5680 2.8037 0.0000
0.0000 1.4298 6.8105
1.5680 1.6246 -1.8416
1.5680 -2.0885 5.1403
1.5680 1.6246 1.8416
0.0000 2.1450 1.6701
0.0000 4.2335 0.0000
1.5680 2.0885 5.1403
0.0000 2.6089 4.9689
0.0000 6.3220 1.6701
0.0000 2.6089 8.6520
```

Computed properties:
Its space group is Immm.

(6)
This record from Alexandria via LeMat-Bulk describes PmReB2 after structural relaxation. The functional is PBE.

```
PmReB2
1.0
5.5485 0.0000 0.0000
0.0000 4.2403 0.0000
0.0000 0.0000 10.4461
Pm Re B
4 4 8
Cartesian
0.0059 1.0601 1.4494
2.7683 3.1802 6.6725
2.7802 1.0601 3.7737
5.5425 3.1802 8.9967
0.0040 3.1802 4.1514
2.7702 1.0601 9.3745
2.7783 3.1802 1.0717
5.5444 1.0601 6.2948
0.0077 1.0601 4.1099
1.3818 1.0601 7.8351
1.3924 3.1802 2.6120
2.7666 3.1802 9.3330
2.7819 1.0601 1.1132
4.1560 1.0601 7.8341
4.1667 3.1802 2.6110
5.5408 3.1802 6.3363
```

Computed properties:
The energy above the most stable polymorph in this dataset is 93 meV per atom. Its space group is Pnma.

no.,calculated volume (A^3/atom),formation enthalpy at 0 K (meV per atom)
1,22.0,395
2,17.7,25
3,10.8,-407
4,12.4,-272
5,12.9,-206
6,15.4,-298